1.
# BePtRh

A geometry-optimized BePtRh structure (PBE, Alexandria via LeMat-Bulk).

E   -18.14 eV/f.u.
ΔE_f   -0.342 eV per atom
Total magnetic moment   0.00 μB per formula unit
Energy above the most stable polymorph in this dataset   0.115 eV/atom

Cell lengths 2.7248, 2.7248, 6.0214 Å; angles 90.00, 90.00, 120.00 degrees
Element x y z (fractional)
Be  0.0000  0.0000  0.0000
Pt  0.6667  0.3333  0.3030
Rh  0.3333  0.6667  0.7112

2.
# Be3PtRh2

A geometry-optimized Be3PtRh2 structure (PBE, Alexandria via LeMat-Bulk).

E   -36.16 eV/f.u.
ΔE_f   -0.707 eV per atom
Total magnetic moment   0.00 μB per formula unit

Cell lengths 2.8058, 2.8058, 8.3955 Å; angles 90.00, 90.00, 90.00 degrees
Element x y z (fractional)
Be  0.0000  0.0000  0.0000
Be  0.0000  0.0000  0.3215
Be  0.0000  0.0000  0.6785
Pt  0.5000  0.5000  0.5000
Rh  0.5000  0.5000  0.1643
Rh  0.5000  0.5000  0.8357

3.
# ScBePtRh

A geometry-optimized ScBePtRh structure (PBE, Alexandria via LeMat-Bulk).

E   -26.70 eV/f.u.
ΔE_f   -0.812 eV per atom
Total magnetic moment   0.00 μB per formula unit

Cell lengths 4.3300, 4.3300, 4.3300 Å; angles 60.00, 60.00, 60.00 degrees
Element x y z (fractional)
Sc  0.0000  0.0000  0.0000
Be  0.5000  0.5000  0.5000
Pt  0.2500  0.2500  0.2500
Rh  0.7500  0.7500  0.7500

4.
# ScBePtRh2

A geometry-optimized ScBePtRh2 structure (PBE, Alexandria via LeMat-Bulk).

E   -33.94 eV/f.u.
ΔE_f   -0.628 eV per atom
Total magnetic moment   0.00 μB per formula unit

Cell lengths 4.1926, 4.1926, 4.2102 Å; angles 90.00, 90.00, 90.00 degrees
Element x y z (fractional)
Sc  0.0000  0.0000  0.0000
Be  0.5000  0.5000  0.5000
Pt  0.5000  0.5000  0.0000
Rh  0.0000  0.5000  0.5000
Rh  0.5000  0.0000  0.5000

5.
# Be2PtRhSe

A geometry-optimized Be2PtRhSe structure (PBE, Alexandria via LeMat-Bulk).

E   -21.65 eV/f.u.
Raw formation energy   0.5365 eV/atom
Total magnetic moment   0.00 μB per formula unit

Cell lengths 4.1597, 4.1597, 4.6929 Å; angles 90.00, 90.00, 90.00 degrees
Element x y z (fractional)
Be  0.0000  0.5000  0.0000
Be  0.5000  0.0000  0.0000
Pt  0.0000  0.0000  0.5000
Rh  0.5000  0.5000  0.0000
Se  0.5000  0.5000  0.5000

6.
# BeSiPtRh

A geometry-optimized BeSiPtRh structure (PBE, Alexandria via LeMat-Bulk).

E   -25.04 eV/f.u.
Raw formation energy   -0.6255 eV/atom
Total magnetic moment   0.00 μB per formula unit

Cell lengths 4.1303, 4.1303, 4.1303 Å; angles 60.00, 60.00, 60.00 degrees
Element x y z (fractional)
Be  0.0000  0.0000  0.0000
Si  0.5000  0.5000  0.5000
Pt  0.2500  0.2500  0.2500
Rh  0.7500  0.7500  0.7500

7.
# SmBe4PtRh2

A geometry-optimized SmBe4PtRh2 structure (PBE, Alexandria via LeMat-Bulk).

E   -44.90 eV/f.u.
ΔE_f   -0.567 eV per atom
Total magnetic moment   0.00 μB per formula unit

Cell lengths 8.5874, 8.5874, 8.5874 Å; angles 26.33, 26.33, 26.33 degrees
Element x y z (fractional)
Sm  0.0000  0.0000  0.0000
Be  0.1304  0.1304  0.1304
Be  0.4101  0.4101  0.4101
Be  0.5899  0.5899  0.5899
Be  0.8696  0.8696  0.8696
Pt  0.5000  0.5000  0.5000
Rh  0.2388  0.2388  0.2388
Rh  0.7612  0.7612  0.7612

8.
# SmBe4Pt2Rh

A geometry-optimized SmBe4Pt2Rh structure (PBE, Alexandria via LeMat-Bulk).

E   -44.71 eV/f.u.
ΔE_f   -0.707 eV per atom
Total magnetic moment   0.00 μB per formula unit

Cell lengths 8.5319, 8.5319, 8.5319 Å; angles 26.68, 26.68, 26.68 degrees
Element x y z (fractional)
Sm  0.0000  0.0000  0.0000
Be  0.1344  0.1344  0.1344
Be  0.4107  0.4107  0.4107
Be  0.5893  0.5893  0.5893
Be  0.8656  0.8656  0.8656
Pt  0.2401  0.2401  0.2401
Pt  0.7599  0.7599  0.7599
Rh  0.5000  0.5000  0.5000

9.
# BeSnPtRh2

A geometry-optimized BeSnPtRh2 structure (PBE, Alexandria via LeMat-Bulk).

E   -21.95 eV/f.u.
ΔE_f   1.304 eV per atom
Total magnetic moment   0.00 μB per formula unit

Cell lengths 4.8230, 4.8230, 4.8670 Å; angles 90.00, 90.00, 90.00 degrees
Element x y z (fractional)
Be  0.0000  0.0000  0.0000
Sn  0.5000  0.5000  0.5000
Pt  0.5000  0.5000  0.0000
Rh  0.0000  0.5000  0.5000
Rh  0.5000  0.0000  0.5000

10.
# Sr2BePtRh

A geometry-optimized Sr2BePtRh structure (PBE, Alexandria via LeMat-Bulk).

E   -20.20 eV/f.u.
ΔE_f   0.056 eV per atom
Total magnetic moment   0.00 μB per formula unit

Cell lengths 5.7397, 5.7397, 4.2211 Å; angles 90.00, 90.00, 90.00 degrees
Element x y z (fractional)
Sr  0.0000  0.5000  0.0000
Sr  0.5000  0.0000  0.0000
Be  0.0000  0.0000  0.5000
Pt  0.0000  0.0000  0.0000
Rh  0.5000  0.5000  0.5000

11.
# BeTePt2Rh

A geometry-optimized BeTePt2Rh structure (PBE, Alexandria via LeMat-Bulk).

E   -20.55 eV/f.u.
Raw formation energy   1.1502 eV/atom
Total magnetic moment   0.84 μB per formula unit

Cell lengths 4.9395, 4.9395, 4.3260 Å; angles 90.00, 90.00, 90.00 degrees
Element x y z (fractional)
Be  0.0000  0.0000  0.0000
Te  0.0000  0.0000  0.5000
Pt  0.0000  0.5000  0.5000
Pt  0.5000  0.0000  0.5000
Rh  0.5000  0.5000  0.0000

12.
# ThBe2PtRh2

A geometry-optimized ThBe2PtRh2 structure (PBE, Alexandria via LeMat-Bulk).

E   -38.38 eV/f.u.
ΔE_f   -0.461 eV per atom
Total magnetic moment   0.00 μB per formula unit

Cell lengths 4.1640, 4.1640, 5.7051 Å; angles 90.00, 90.00, 90.00 degrees
Element x y z (fractional)
Th  0.0000  0.0000  0.0000
Be  0.0000  0.5000  0.5000
Be  0.5000  0.0000  0.5000
Pt  0.0000  0.0000  0.5000
Rh  0.5000  0.5000  0.2533
Rh  0.5000  0.5000  0.7467

13.
# Th2Be4Pt3Rh

A geometry-optimized Th2Be4Pt3Rh structure (PBE, Alexandria via LeMat-Bulk).

E   -63.71 eV/f.u.
ΔE_f   -0.849 eV per atom
Total magnetic moment   0.00 μB per formula unit

Cell lengths 4.1017, 4.1017, 9.5388 Å; angles 90.00, 90.00, 90.00 degrees
Element x y z (fractional)
Th  0.0000  0.5000  0.2475
Th  0.5000  0.0000  0.7525
Be  0.0000  0.0000  0.5000
Be  0.0000  0.5000  0.8819
Be  0.5000  0.0000  0.1181
Be  0.5000  0.5000  0.5000
Pt  0.0000  0.0000  0.0000
Pt  0.0000  0.5000  0.6265
Pt  0.5000  0.0000  0.3735
Rh  0.5000  0.5000  0.0000

14.
# ThBe2Pt2Rh

A geometry-optimized ThBe2Pt2Rh structure (PBE, Alexandria via LeMat-Bulk).

E   -38.28 eV/f.u.
ΔE_f   -0.662 eV per atom
Total magnetic moment   0.00 μB per formula unit

Cell lengths 6.8445, 6.8445, 6.8445 Å; angles 145.59, 145.59, 49.46 degrees
Element x y z (fractional)
Th  0.0000  0.0000  0.0000
Be  0.3259  0.3259  0.0000
Be  0.6741  0.6741  0.0000
Pt  0.2500  0.7500  0.5000
Pt  0.7500  0.2500  0.5000
Rh  0.5000  0.5000  0.0000

15.
# Tm2Be4Pt3Rh

A geometry-optimized Tm2Be4Pt3Rh structure (PBE, Alexandria via LeMat-Bulk).

E   -58.27 eV/f.u.
ΔE_f   -0.894 eV per atom
Total magnetic moment   0.00 μB per formula unit

Cell lengths 4.0137, 4.0137, 9.2455 Å; angles 90.00, 90.00, 90.00 degrees
Element x y z (fractional)
Tm  0.0000  0.5000  0.2450
Tm  0.5000  0.0000  0.7550
Be  0.0000  0.0000  0.5000
Be  0.0000  0.5000  0.8764
Be  0.5000  0.0000  0.1236
Be  0.5000  0.5000  0.5000
Pt  0.0000  0.0000  0.0000
Pt  0.0000  0.5000  0.6270
Pt  0.5000  0.0000  0.3730
Rh  0.5000  0.5000  0.0000

16.
# YBe4Pt2Rh

A geometry-optimized YBe4Pt2Rh structure (PBE, Alexandria via LeMat-Bulk).

E   -46.76 eV/f.u.
ΔE_f   -0.744 eV per atom
Total magnetic moment   0.00 μB per formula unit

Cell lengths 8.3589, 8.3589, 8.3589 Å; angles 27.17, 27.17, 27.17 degrees
Element x y z (fractional)
Y  0.0000  0.0000  0.0000
Be  0.1343  0.1343  0.1343
Be  0.4086  0.4086  0.4086
Be  0.5914  0.5914  0.5914
Be  0.8657  0.8657  0.8657
Pt  0.2424  0.2424  0.2424
Pt  0.7576  0.7576  0.7576
Rh  0.5000  0.5000  0.5000

17.
# YBePtRh2

A geometry-optimized YBePtRh2 structure (PBE, Alexandria via LeMat-Bulk).

E   -34.46 eV/f.u.
ΔE_f   -0.705 eV per atom
Total magnetic moment   0.00 μB per formula unit

Cell lengths 4.2882, 4.2882, 4.2920 Å; angles 90.00, 90.00, 90.00 degrees
Element x y z (fractional)
Y  0.0000  0.0000  0.0000
Be  0.5000  0.5000  0.5000
Pt  0.5000  0.5000  0.0000
Rh  0.0000  0.5000  0.5000
Rh  0.5000  0.0000  0.5000

18.
# YBe4PtRh2

A geometry-optimized YBe4PtRh2 structure (PBE, Alexandria via LeMat-Bulk).

E   -46.98 eV/f.u.
ΔE_f   -0.608 eV per atom
Total magnetic moment   0.00 μB per formula unit

Cell lengths 8.4505, 8.4505, 8.4505 Å; angles 26.65, 26.65, 26.65 degrees
Element x y z (fractional)
Y  0.0000  0.0000  0.0000
Be  0.1296  0.1296  0.1296
Be  0.4079  0.4079  0.4079
Be  0.5921  0.5921  0.5921
Be  0.8704  0.8704  0.8704
Pt  0.5000  0.5000  0.5000
Rh  0.2400  0.2400  0.2400
Rh  0.7600  0.7600  0.7600

19.
# Y2BePt6Rh

A geometry-optimized Y2BePt6Rh structure (PBE, Alexandria via LeMat-Bulk).

E   -66.90 eV/f.u.
ΔE_f   -0.665 eV per atom
Total magnetic moment   0.00 μB per formula unit

Cell lengths 7.8745, 7.8745, 7.8745 Å; angles 40.92, 40.92, 40.92 degrees
Element x y z (fractional)
Y  0.2044  0.2044  0.2044
Y  0.7956  0.7956  0.7956
Be  0.0000  0.0000  0.0000
Pt  0.2386  0.2386  0.7327
Pt  0.2386  0.7327  0.2386
Pt  0.2673  0.7614  0.7614
Pt  0.7327  0.2386  0.2386
Pt  0.7614  0.2673  0.7614
Pt  0.7614  0.7614  0.2673
Rh  0.5000  0.5000  0.5000

20.
# YBePt2Rh

A geometry-optimized YBePt2Rh structure (PBE, Alexandria via LeMat-Bulk).

E   -33.79 eV/f.u.
ΔE_f   -0.834 eV per atom
Total magnetic moment   0.00 μB per formula unit

Cell lengths 4.3266, 4.3266, 4.3041 Å; angles 90.00, 90.00, 90.00 degrees
Element x y z (fractional)
Y  0.0000  0.0000  0.0000
Be  0.5000  0.5000  0.5000
Pt  0.0000  0.5000  0.5000
Pt  0.5000  0.0000  0.5000
Rh  0.5000  0.5000  0.0000

21.
# BeZnPtRh

A geometry-optimized BeZnPtRh structure (PBE, Alexandria via LeMat-Bulk).

E   -20.61 eV/f.u.
ΔE_f   -0.554 eV per atom
Total magnetic moment   0.00 μB per formula unit

Cell lengths 4.1644, 4.1644, 4.1644 Å; angles 60.00, 60.00, 60.00 degrees
Element x y z (fractional)
Be  0.0000  0.0000  0.0000
Zn  0.5000  0.5000  0.5000
Pt  0.2500  0.2500  0.2500
Rh  0.7500  0.7500  0.7500

22.
# Be5RuPt4

A geometry-optimized Be5RuPt4 structure (PBE, Alexandria via LeMat-Bulk).

E   -58.78 eV/f.u.
ΔE_f   -0.671 eV per atom
Total magnetic moment   0.00 μB per formula unit

Cell lengths 2.8302, 2.8302, 14.2028 Å; angles 90.00, 90.00, 90.00 degrees
Element x y z (fractional)
Be  0.0000  0.0000  0.0000
Be  0.0000  0.0000  0.2050
Be  0.0000  0.0000  0.4086
Be  0.0000  0.0000  0.5914
Be  0.0000  0.0000  0.7950
Ru  0.5000  0.5000  0.5000
Pt  0.5000  0.5000  0.1006
Pt  0.5000  0.5000  0.3016
Pt  0.5000  0.5000  0.6984
Pt  0.5000  0.5000  0.8994

23.
# Be2Ru2Pt

A geometry-optimized Be2Ru2Pt structure (PBE, Alexandria via LeMat-Bulk).

E   -30.84 eV/f.u.
ΔE_f   0.242 eV per atom
Total magnetic moment   0.00 μB per formula unit
Energy above the most stable polymorph in this dataset   0.515 eV/atom

Cell lengths 4.9033, 4.9033, 4.9033 Å; angles 131.69, 131.69, 70.73 degrees
Element x y z (fractional)
Be  0.2500  0.7500  0.5000
Be  0.7500  0.2500  0.5000
Ru  0.1467  0.1467  0.0000
Ru  0.8533  0.8533  0.0000
Pt  0.5000  0.5000  0.0000

24.
# BeRuPt3

A geometry-optimized BeRuPt3 structure (PBE, Alexandria via LeMat-Bulk).

E   -23.01 eV/f.u.
ΔE_f   1.623 eV per atom
Total magnetic moment   0.00 μB per formula unit
Energy above the most stable polymorph in this dataset   1.296 eV/atom

Cell lengths 4.7765, 4.7765, 4.7765 Å; angles 90.00, 90.00, 90.00 degrees
Element x y z (fractional)
Be  0.0000  0.0000  0.0000
Ru  0.5000  0.5000  0.5000
Pt  0.0000  0.5000  0.5000
Pt  0.5000  0.0000  0.5000
Pt  0.5000  0.5000  0.0000

25.
# BeRuPt3

A geometry-optimized BeRuPt3 structure (PBE, Alexandria via LeMat-Bulk).

E   -29.49 eV/f.u.
ΔE_f   0.327 eV per atom
Total magnetic moment   2.51 μB per formula unit
Energy above the most stable polymorph in this dataset   0.000 eV/atom

Cell lengths 4.2209, 4.2209, 4.2209 Å; angles 90.00, 90.00, 90.00 degrees
Element x y z (fractional)
Be  0.0000  0.0000  0.0000
Ru  0.5000  0.5000  0.5000
Pt  0.0000  0.0000  0.5000
Pt  0.0000  0.5000  0.0000
Pt  0.5000  0.0000  0.0000

26.
# Be2Ru2Pt

A geometry-optimized Be2Ru2Pt structure (PBE, Alexandria via LeMat-Bulk).

E   -33.41 eV/f.u.
ΔE_f   -0.273 eV per atom
Total magnetic moment   0.00 μB per formula unit
Energy above the most stable polymorph in this dataset   0.000 eV/atom

Cell lengths 5.8138, 5.8138, 3.4802 Å; angles 90.00, 90.00, 90.00 degrees
Element x y z (fractional)
Be  0.1261  0.3739  0.0000
Be  0.3739  0.8739  0.0000
Be  0.6261  0.1261  0.0000
Be  0.8739  0.6261  0.0000
Ru  0.1734  0.6734  0.5000
Ru  0.3266  0.1734  0.5000
Ru  0.6734  0.8266  0.5000
Ru  0.8266  0.3266  0.5000
Pt  0.0000  0.0000  0.0000
Pt  0.5000  0.5000  0.0000

27.
# Be3RuPt

A geometry-optimized Be3RuPt structure (PBE, Alexandria via LeMat-Bulk).

E   -23.52 eV/f.u.
ΔE_f   0.595 eV per atom
Total magnetic moment   0.00 μB per formula unit
Energy above the most stable polymorph in this dataset   0.083 eV/atom

Cell lengths 4.0422, 4.0422, 4.0422 Å; angles 90.00, 90.00, 90.00 degrees
Element x y z (fractional)
Be  0.0000  0.0000  0.5000
Be  0.0000  0.5000  0.0000
Be  0.5000  0.0000  0.0000
Ru  0.0000  0.0000  0.0000
Pt  0.5000  0.5000  0.5000